First-principles (PBE) data for crystalline NaTb3Ir8 at its relaxed geometry, as listed in the Alexandria database.

Values from the calculation:
The formation energy comes out at -0.59 eV/atom.

Cell lengths 5.3467, 5.3467, 26.2272 Å; angles 90.00, 90.00, 120.00 degrees
Space group R3m (No. 160, hexagonal axes)
Symmetry-distinct sites (fractional):
Na1 0.0000 0.0000 0.0000 [3 per cell]
Tb1 0.0000 0.0000 0.1213 [3 per cell]
Tb2 0.0000 0.0000 0.5020 [3 per cell]
Tb3 0.0000 0.0000 0.6304 [3 per cell]
Ir1 0.0000 0.0000 0.3140 [3 per cell]
Ir2 0.0000 0.0000 0.8138 [3 per cell]
Ir3 0.9997 0.4998 0.5634 [9 per cell]
Ir4 0.0015 0.5008 0.0643 [9 per cell]

First-principles (PBE) data for crystalline NaTbIr4 at its relaxed geometry, as listed in the Alexandria database.

Values from the calculation:
The formation energy comes out at -0.36 eV/atom.

Cell lengths 7.5215, 7.5215, 7.5215 Å; angles 90.00, 90.00, 90.00 degrees
Space group F-43m (No. 216)
Symmetry-distinct sites (fractional):
Na1 0.0000 0.0000 0.0000 [4 per cell]
Tb1 0.2500 0.2500 0.2500 [4 per cell]
Ir1 0.1252 0.1252 0.6252 [16 per cell]

First-principles (PBE) data for crystalline NaTc3Ir at its relaxed geometry, as listed in the Alexandria database.

Values from the calculation:
The excess energy over the best structure of this formula in the dataset comes out at 4.74 eV per formula unit. The formation energy comes out at 2.55 eV/atom.

Cell lengths 4.3479, 4.3479, 4.3479 Å; angles 90.00, 90.00, 90.00 degrees
Space group Pm-3m (No. 221)
Symmetry-distinct sites (fractional):
Na1 0.0000 0.0000 0.0000 [1 per cell]
Tc1 0.0000 0.0000 0.5000 [3 per cell]
Ir1 0.5000 0.5000 0.5000 [1 per cell]

First-principles (PBE) data for crystalline NaTc2Ir at its relaxed geometry, as listed in the Alexandria database.

Values from the calculation:
The excess energy over the best structure of this formula in the dataset comes out at 0.00 eV per formula unit. The formation energy comes out at 0.79 eV/atom.

Cell lengths 6.2264, 6.2264, 6.2264 Å; angles 90.00, 90.00, 90.00 degrees
Space group Fm-3m (No. 225)
Symmetry-distinct sites (fractional):
Na1 0.0000 0.0000 0.0000 [4 per cell]
Tc1 0.2500 0.2500 0.2500 [8 per cell]
Ir1 0.0000 0.0000 0.5000 [4 per cell]

First-principles (PBE) data for crystalline Na2TcIr at its relaxed geometry, as listed in the Alexandria database.

Values from the calculation:
The excess energy over the best structure of this formula in the dataset comes out at 0.00 eV per formula unit. The formation energy comes out at 1.16 eV/atom.

Cell lengths 10.0752, 10.0752, 4.6888 Å; angles 90.00, 90.00, 90.00 degrees
Space group I-42d (No. 122)
Symmetry-distinct sites (fractional):
Na1 0.1230 0.2500 0.1250 [8 per cell]
Tc1 0.0000 0.0000 0.5000 [4 per cell]
Ir1 0.0000 0.0000 0.0000 [4 per cell]

First-principles (PBE) data for crystalline NaTc3Ir at its relaxed geometry, as listed in the Alexandria database.

Values from the calculation:
The excess energy over the best structure of this formula in the dataset comes out at 0.00 eV per formula unit. The formation energy comes out at 1.60 eV/atom.

Cell lengths 4.7893, 4.7893, 4.7893 Å; angles 90.00, 90.00, 90.00 degrees
Space group Pm-3m (No. 221)
Symmetry-distinct sites (fractional):
Na1 0.0000 0.0000 0.0000 [1 per cell]
Tc1 0.0000 0.5000 0.5000 [3 per cell]
Ir1 0.5000 0.5000 0.5000 [1 per cell]

First-principles (PBE) data for crystalline Na2TcIr at its relaxed geometry, as listed in the Alexandria database.

Values from the calculation:
The excess energy over the best structure of this formula in the dataset comes out at 0.55 eV per formula unit. The formation energy comes out at 1.30 eV/atom.

Cell lengths 6.6070, 6.6070, 6.6070 Å; angles 90.00, 90.00, 90.00 degrees
Space group Fm-3m (No. 225)
Symmetry-distinct sites (fractional):
Na1 0.2500 0.2500 0.2500 [8 per cell]
Tc1 0.0000 0.0000 0.0000 [4 per cell]
Ir1 0.0000 0.0000 0.5000 [4 per cell]

First-principles (PBE) data for crystalline Na3TcIr at its relaxed geometry, as listed in the Alexandria database.

Values from the calculation:
The excess energy over the best structure of this formula in the dataset comes out at 2.00 eV per formula unit. The formation energy comes out at 2.02 eV/atom.

Cell lengths 5.3543, 5.3543, 5.3543 Å; angles 90.00, 90.00, 90.00 degrees
Space group Pm-3m (No. 221)
Symmetry-distinct sites (fractional):
Na1 0.0000 0.0000 0.5000 [3 per cell]
Tc1 0.0000 0.0000 0.0000 [1 per cell]
Ir1 0.5000 0.5000 0.5000 [1 per cell]

First-principles (PBE) data for crystalline NaTc2Ir at its relaxed geometry, as listed in the Alexandria database.

Values from the calculation:
The excess energy over the best structure of this formula in the dataset comes out at 0.60 eV per formula unit. The formation energy comes out at 0.94 eV/atom.

Cell lengths 7.4496, 7.4496, 5.2017 Å; angles 90.00, 90.00, 90.00 degrees
Space group I-42d (No. 122)
Symmetry-distinct sites (fractional):
Na1 0.0000 0.0000 0.0000 [4 per cell]
Tc1 0.1947 0.2500 0.6250 [8 per cell]
Ir1 0.0000 0.0000 0.5000 [4 per cell]

First-principles (PBE) data for crystalline Na3TcIr at its relaxed geometry, as listed in the Alexandria database.

Values from the calculation:
The excess energy over the best structure of this formula in the dataset comes out at 0.00 eV per formula unit. The formation energy comes out at 1.62 eV/atom.

Cell lengths 5.3725, 5.3725, 5.3725 Å; angles 90.00, 90.00, 90.00 degrees
Space group Pm-3m (No. 221)
Symmetry-distinct sites (fractional):
Na1 0.0000 0.0000 0.5000 [3 per cell]
Tc1 0.5000 0.5000 0.5000 [1 per cell]
Ir1 0.0000 0.0000 0.0000 [1 per cell]

First-principles (PBE) data for crystalline NaYTc2Ir at its relaxed geometry, as listed in the Alexandria database.

Values from the calculation:
The formation energy comes out at 0.90 eV/atom.

Cell lengths 4.7644, 4.7644, 4.9520 Å; angles 90.00, 90.00, 90.00 degrees
Space group P4/mmm (No. 123)
Symmetry-distinct sites (fractional):
Na1 0.0000 0.0000 0.0000 [1 per cell]
Y1 0.5000 0.5000 0.0000 [1 per cell]
Tc1 0.0000 0.5000 0.5000 [2 per cell]
Ir1 0.0000 0.0000 0.5000 [1 per cell]

First-principles (PBE) data for crystalline NaTe2Ir at its relaxed geometry, as listed in the Alexandria database.

Values from the calculation:
The calculation puts the energy relative to the elements, uncorrected at -0.33 eV/atom.

Cell lengths 4.0688, 4.0688, 25.9593 Å; angles 90.00, 90.00, 120.00 degrees
Space group R-3m (No. 166, hexagonal axes)
Symmetry-distinct sites (fractional):
Na1 0.0000 0.0000 0.0000 [3 per cell]
Te1 0.0000 0.0000 0.1162 [6 per cell]
Ir1 0.0000 0.0000 0.5000 [3 per cell]

no.,E_tot (Ry/atom)
1,-0.57071
2,-0.53336
3,-0.41964
4,-0.51015
5,-0.31631
6,-0.48928
7,-0.30614
8,-0.19240
9,-0.49917
10,-0.22183
11,-0.48326
12,-0.32687